[1]
## Ba3InH (PBE)

Data for crystalline Ba3InH at its relaxed geometry.

Structure (CIF):
```
data_Ba3InH
_cell_length_a 5.641
_cell_length_b 5.641
_cell_length_c 5.641
_cell_angle_alpha 90.00
_cell_angle_beta 90.00
_cell_angle_gamma 90.00
_space_group_name_H-M_alt 'P 1'
_space_group_IT_number 1
loop_
_space_group_symop_operation_xyz
'x,y,z'
loop_
_atom_site_label
_atom_site_fract_x
_atom_site_fract_y
_atom_site_fract_z
H1 0.000 0.000 0.000
Ba1 0.000 0.500 0.000
Ba2 0.000 0.000 0.500
Ba3 0.500 0.000 0.000
In1 0.500 0.500 0.500
```

DFT total energy in eV per atom: -2.66
Volume in Å³ per cell: 179.5
Symmetry: Pm-3m
E above lowest polymorph in meV per atom: 4

---

[2]
## Ba3In5H12 (PBE)

Data for crystalline Ba3In5H12 at its relaxed geometry.

Structure (CIF):
```
data_Ba3In5H12
_cell_length_a 12.283
_cell_length_b 12.283
_cell_length_c 12.283
_cell_angle_alpha 109.47
_cell_angle_beta 109.47
_cell_angle_gamma 109.47
_space_group_name_H-M_alt 'P 1'
_space_group_IT_number 1
loop_
_space_group_symop_operation_xyz
'x,y,z'
loop_
_atom_site_label
_atom_site_fract_x
_atom_site_fract_y
_atom_site_fract_z
Ba1 0.750 0.375 0.125
Ba2 0.875 0.750 0.125
Ba3 0.375 0.750 0.625
Ba4 0.250 0.125 0.375
Ba5 0.875 0.125 0.250
Ba6 0.375 0.625 0.250
Ba7 0.625 0.375 0.750
Ba8 0.125 0.875 0.750
Ba9 0.750 0.875 0.625
Ba10 0.625 0.250 0.375
Ba11 0.125 0.250 0.875
Ba12 0.250 0.625 0.875
In1 0.125 0.375 0.250
In2 0.000 0.500 0.000
In3 0.000 0.000 0.000
In4 0.375 0.250 0.125
In5 0.500 0.000 0.500
In6 0.500 0.500 0.000
In7 0.125 0.750 0.375
In8 0.750 0.125 0.875
In9 0.750 0.625 0.375
In10 0.375 0.125 0.750
In11 0.625 0.875 0.250
In12 0.500 0.500 0.500
In13 0.500 0.000 0.000
In14 0.000 0.000 0.500
In15 0.250 0.375 0.625
In16 0.250 0.875 0.125
In17 0.000 0.500 0.500
In18 0.875 0.250 0.625
In19 0.625 0.750 0.875
In20 0.875 0.625 0.750
H1 0.749 0.139 0.029
H2 0.280 0.529 0.390
H3 0.971 0.361 0.251
H4 0.529 0.249 0.139
H5 0.609 0.749 0.720
H6 0.971 0.610 0.220
H7 0.280 0.751 0.391
H8 0.110 0.891 0.139
H9 0.610 0.971 0.720
H10 0.749 0.609 0.220
H11 0.751 0.471 0.361
H12 0.780 0.890 0.029
H13 0.139 0.749 0.529
H14 0.361 0.390 0.109
H15 0.109 0.890 0.361
H16 0.391 0.139 0.610
H17 0.109 0.220 0.249
H18 0.471 0.720 0.110
H19 0.780 0.891 0.251
H20 0.139 0.391 0.110
H21 0.361 0.971 0.751
H22 0.610 0.639 0.391
H23 0.890 0.780 0.529
H24 0.751 0.280 0.891
H25 0.390 0.361 0.609
H26 0.110 0.220 0.471
H27 0.249 0.720 0.109
H28 0.220 0.109 0.749
H29 0.639 0.029 0.249
H30 0.861 0.609 0.890
H31 0.529 0.280 0.890
H32 0.609 0.861 0.390
H33 0.891 0.780 0.751
H34 0.891 0.110 0.639
H35 0.861 0.251 0.471
H36 0.220 0.110 0.971
H37 0.639 0.610 0.891
H38 0.390 0.029 0.280
H39 0.251 0.391 0.780
H40 0.249 0.529 0.639
H41 0.890 0.109 0.861
H42 0.720 0.249 0.609
H43 0.471 0.751 0.861
H44 0.029 0.390 0.780
H45 0.391 0.251 0.280
H46 0.029 0.639 0.749
H47 0.720 0.471 0.610
H48 0.251 0.861 0.971
```

DFT total energy in eV per atom: -2.96
Volume in Å³ per cell: 1426.6
Symmetry: Ia-3d

---

[3]
## Ba2InH (PBE)

Data for crystalline Ba2InH at its relaxed geometry.

Structure (CIF):
```
data_Ba2InH
_cell_length_a 5.532
_cell_length_b 7.351
_cell_length_c 7.351
_cell_angle_alpha 107.59
_cell_angle_beta 90.00
_cell_angle_gamma 90.00
_space_group_name_H-M_alt 'P 1'
_space_group_IT_number 1
loop_
_space_group_symop_operation_xyz
'x,y,z'
loop_
_atom_site_label
_atom_site_fract_x
_atom_site_fract_y
_atom_site_fract_z
Ba1 0.250 0.666 0.902
Ba2 0.750 0.334 0.098
Ba3 0.250 0.098 0.334
Ba4 0.750 0.902 0.666
In1 0.250 0.597 0.403
In2 0.750 0.403 0.597
H1 0.500 0.000 0.000
H2 0.000 0.000 0.000
```

DFT total energy in eV per atom: -2.80
Volume in Å³ per cell: 285.0
Symmetry: Cmcm
E above lowest polymorph in meV per atom: 29

---

[4]
## Ba3InH (PBE)

Data for crystalline Ba3InH at its relaxed geometry.

Structure (CIF):
```
data_Ba3InH
_cell_length_a 4.313
_cell_length_b 10.327
_cell_length_c 10.127
_cell_angle_alpha 100.86
_cell_angle_beta 102.36
_cell_angle_gamma 78.06
_space_group_name_H-M_alt 'P 1'
_space_group_IT_number 1
loop_
_space_group_symop_operation_xyz
'x,y,z'
loop_
_atom_site_label
_atom_site_fract_x
_atom_site_fract_y
_atom_site_fract_z
Ba1 0.135 0.370 0.642
Ba2 0.849 0.327 0.027
Ba3 0.128 0.046 0.306
Ba4 0.865 0.630 0.358
Ba5 0.872 0.954 0.694
Ba6 0.151 0.673 0.973
In1 0.498 0.668 0.663
In2 0.502 0.332 0.337
H1 0.250 0.412 0.915
H2 0.750 0.588 0.085
```

DFT total energy in eV per atom: -2.66
Volume in Å³ per cell: 426.2
Symmetry: P-1
E above lowest polymorph in meV per atom: 0

---

[5]
## Ba6In2H (PBE)

Data for crystalline Ba6In2H at its relaxed geometry.

Structure (CIF):
```
data_Ba6In2H
_cell_length_a 8.058
_cell_length_b 8.352
_cell_length_c 11.562
_cell_angle_alpha 90.00
_cell_angle_beta 89.99
_cell_angle_gamma 90.00
_space_group_name_H-M_alt 'P 1'
_space_group_IT_number 1
loop_
_space_group_symop_operation_xyz
'x,y,z'
loop_
_atom_site_label
_atom_site_fract_x
_atom_site_fract_y
_atom_site_fract_z
Ba1 0.903 0.989 0.253
Ba2 0.804 0.702 0.549
Ba3 0.798 0.697 0.951
Ba4 0.702 0.197 0.549
Ba5 0.696 0.202 0.951
Ba6 0.597 0.489 0.247
Ba7 0.097 0.011 0.747
Ba8 0.196 0.298 0.451
Ba9 0.202 0.303 0.049
Ba10 0.298 0.803 0.451
Ba11 0.304 0.798 0.049
Ba12 0.403 0.511 0.753
In1 0.975 0.430 0.749
In2 0.525 0.930 0.751
In3 0.475 0.070 0.249
In4 0.025 0.570 0.251
H1 0.500 0.500 0.000
H2 0.000 0.000 0.500
```

DFT total energy in eV per atom: -2.53
Volume in Å³ per cell: 778.1
Symmetry: P2_1/c
E above lowest polymorph in meV per atom: 0

---

[6]
## BaInH2 (PBE)

Data for crystalline BaInH2 at its relaxed geometry.

Structure (CIF):
```
data_BaInH2
_cell_length_a 4.788
_cell_length_b 4.788
_cell_length_c 4.788
_cell_angle_alpha 60.00
_cell_angle_beta 60.00
_cell_angle_gamma 60.00
_space_group_name_H-M_alt 'P 1'
_space_group_IT_number 1
loop_
_space_group_symop_operation_xyz
'x,y,z'
loop_
_atom_site_label
_atom_site_fract_x
_atom_site_fract_y
_atom_site_fract_z
H1 0.250 0.250 0.250
H2 0.750 0.750 0.750
Ba1 0.500 0.500 0.500
In1 0.000 0.000 0.000
```

DFT total energy in eV per atom: -2.85
Volume in Å³ per cell: 77.6
Symmetry: Fm-3m
E above lowest polymorph in meV per atom: 288

---

[7]
## BaInH2 (PBE)

Data for crystalline BaInH2 at its relaxed geometry.

Structure (CIF):
```
data_BaInH2
_cell_length_a 6.190
_cell_length_b 7.276
_cell_length_c 7.428
_cell_angle_alpha 90.00
_cell_angle_beta 90.00
_cell_angle_gamma 90.00
_space_group_name_H-M_alt 'P 1'
_space_group_IT_number 1
loop_
_space_group_symop_operation_xyz
'x,y,z'
loop_
_atom_site_label
_atom_site_fract_x
_atom_site_fract_y
_atom_site_fract_z
Ba1 0.750 0.865 0.835
Ba2 0.250 0.365 0.665
Ba3 0.250 0.135 0.165
Ba4 0.750 0.635 0.335
In1 0.250 0.635 0.084
In2 0.750 0.365 0.916
In3 0.750 0.135 0.416
In4 0.250 0.865 0.584
H1 0.024 0.824 0.113
H2 0.976 0.324 0.387
H3 0.976 0.176 0.887
H4 0.024 0.676 0.613
H5 0.524 0.176 0.887
H6 0.524 0.324 0.387
H7 0.476 0.824 0.113
H8 0.476 0.676 0.613
```

DFT total energy in eV per atom: -3.14
Volume in Å³ per cell: 334.6
Symmetry: Pnma
E above lowest polymorph in meV per atom: 0

---

[8]
## Ba8In3H2 (PBE)

Data for crystalline Ba8In3H2 at its relaxed geometry.

Structure (CIF):
```
data_Ba8In3H2
_cell_length_a 7.938
_cell_length_b 7.938
_cell_length_c 11.002
_cell_angle_alpha 68.85
_cell_angle_beta 68.85
_cell_angle_gamma 60.00
_space_group_name_H-M_alt 'P 1'
_space_group_IT_number 1
loop_
_space_group_symop_operation_xyz
'x,y,z'
loop_
_atom_site_label
_atom_site_fract_x
_atom_site_fract_y
_atom_site_fract_z
Ba1 0.684 0.684 0.947
Ba2 0.316 0.316 0.053
Ba3 0.220 0.734 0.312
Ba4 0.734 0.220 0.312
Ba5 0.734 0.734 0.312
Ba6 0.266 0.780 0.688
Ba7 0.780 0.266 0.688
Ba8 0.266 0.266 0.688
In1 0.000 0.000 0.000
In2 0.798 0.798 0.607
In3 0.202 0.202 0.393
H1 0.598 0.598 0.207
H2 0.402 0.402 0.793
```

DFT total energy in eV per atom: -2.57
Volume in Å³ per cell: 545.8
Symmetry: R-3m